A plane-wave DFT calculation with PBE was carried out for GdHoCoIr after structural relaxation.

a = 4.812 Å, b = 4.812 Å, c = 4.812 Å
α = 60.00°, β = 60.00°, γ = 60.00°
Site moments in Bohr magnetons follow the coordinates.
Element x y z (fractional)
Gd: 0.000 0.000 0.000  7.11
Co: 0.250 0.250 0.250  -0.93
Ir: 0.750 0.750 0.750  -0.12
Ho: 0.500 0.500 0.500  0.19

Values from the calculation:
Energy of formation from the pure elements (eV/atom): -0.4945